First-principles (GGA-PBE) data for an optimized crystal structure of Ho2TmCd3, as listed in Alexandria.

Values from the calculation:
**Energy**: -18.27 eV per cell
**Energy of formation**: -7.3 kcal/mol of atoms

Cell lengths 5.2507, 5.2507, 6.4516 Å; angles 90.00, 90.00, 120.00 degrees
Space group P-3m1 (No. 164)
Inequivalent atoms, fractional coordinates:
Ho  0.3333  0.6667  0.1695 [2 per cell]
Tm  0.0000  0.0000  0.5000 [1 per cell]
Cd  0.0000  0.0000  0.0000 [1 per cell]
Cd  0.3333  0.6667  0.6674 [2 per cell]

First-principles (GGA-PBE) data for an optimized crystal structure of Ho4Tm3Cd2, as listed in Alexandria.

Values from the calculation:
**Energy**: -68.47 eV per cell
**Energy of formation**: -1.7 kcal/mol of atoms

Cell lengths 14.4945, 4.8253, 7.6950 Å; angles 90.00, 108.56, 90.00 degrees
Space group C2/m (No. 12)
Inequivalent atoms, fractional coordinates:
Ho  0.0559  0.0000  0.3343 [4 per cell]
Ho  0.2212  0.5000  0.3217 [4 per cell]
Tm  0.0000  0.5000  0.0000 [2 per cell]
Tm  0.1134  0.5000  0.6728 [4 per cell]
Cd  0.1659  0.0000  0.9980 [4 per cell]

First-principles (GGA-PBE) data for an optimized crystal structure of Ho2TmCd, as listed in Alexandria.

Values from the calculation:
**Offset from the most stable computed form**: 74.9 meV/atom
**Energy**: -44.41 eV per cell
**Energy of formation**: -1.5 kcal/mol of atoms

Cell lengths 3.5321, 3.5321, 32.1986 Å; angles 90.00, 90.00, 120.00 degrees
Space group R-3m (No. 166, hexagonal axes)
Inequivalent atoms, fractional coordinates:
Ho  0.0000  0.0000  0.2453 [6 per cell]
Tm  0.0000  0.0000  0.0000 [3 per cell]
Cd  0.0000  0.0000  0.5000 [3 per cell]

First-principles (GGA-PBE) data for an optimized crystal structure of Ho12Tm6Cd, as listed in Alexandria.

Values from the calculation:
**Offset from the most stable computed form**: 18.3 meV/atom
**Energy**: -240.64 eV per cell
**Energy of formation**: 3.0 kcal/mol of atoms

Cell lengths 12.7277, 12.7277, 12.6874 Å; angles 90.00, 90.00, 120.00 degrees
Space group R-3m (No. 166, hexagonal axes)
Inequivalent atoms, fractional coordinates:
Ho  0.0000  0.2602  0.0000 [18 per cell]
Ho  0.0559  0.5280  0.1125 [18 per cell]
Tm  0.0905  0.1810  0.7727 [18 per cell]
Cd  0.0000  0.0000  0.0000 [3 per cell]

First-principles (GGA-PBE) data for an optimized crystal structure of Ho2VCd, as listed in Alexandria.

Values from the calculation:
**Offset from the most stable computed form**: 0.0 meV/atom
**Energy**: -19.16 eV per cell
**Energy of formation**: 0.2 kcal/mol of atoms

Cell lengths 3.6025, 3.6025, 7.5063 Å; angles 90.00, 90.00, 90.00 degrees
Space group P4/mmm (No. 123)
Inequivalent atoms, fractional coordinates:
Ho  0.0000  0.0000  0.2286 [2 per cell]
V  0.5000  0.5000  0.0000 [1 per cell]
Cd  0.5000  0.5000  0.5000 [1 per cell]

First-principles (GGA-PBE) data for an optimized crystal structure of Ho2VCd, as listed in Alexandria.

Values from the calculation:
**Offset from the most stable computed form**: 540.9 meV/atom
**Energy**: -51.00 eV per cell
**Energy of formation**: 12.6 kcal/mol of atoms

Cell lengths 3.2669, 3.2669, 33.0924 Å; angles 90.00, 90.00, 120.00 degrees
Space group R-3m (No. 166, hexagonal axes)
Inequivalent atoms, fractional coordinates:
Ho  0.0000  0.0000  0.0854 [6 per cell]
V  0.0000  0.0000  0.0000 [3 per cell]
Cd  0.0000  0.0000  0.5000 [3 per cell]

First-principles (GGA-PBE) data for an optimized crystal structure of HoVCd, as listed in Alexandria.

Values from the calculation:
**Energy**: -83.49 eV per cell
**Energy of formation**: 5.4 kcal/mol of atoms

Cell lengths 3.2406, 3.2406, 43.5401 Å; angles 90.00, 90.00, 120.00 degrees
Space group R-3m (No. 166, hexagonal axes)
Inequivalent atoms, fractional coordinates:
Ho  0.0000  0.0000  0.0939 [6 per cell]
V  0.0000  0.0000  0.1848 [6 per cell]
Cd  0.0000  0.0000  0.3036 [6 per cell]

First-principles (GGA-PBE) data for an optimized crystal structure of YHo2Cd3, as listed in Alexandria.

Values from the calculation:
**Energy**: -20.35 eV per cell
**Energy of formation**: -7.6 kcal/mol of atoms

Cell lengths 3.7375, 3.7375, 11.2012 Å; angles 90.00, 90.00, 90.00 degrees
Space group P4/mmm (No. 123)
Inequivalent atoms, fractional coordinates:
Y  0.0000  0.0000  0.0000 [1 per cell]
Ho  0.0000  0.0000  0.3342 [2 per cell]
Cd  0.5000  0.5000  0.1688 [2 per cell]
Cd  0.5000  0.5000  0.5000 [1 per cell]

First-principles (GGA-PBE) data for an optimized crystal structure of Y2Ho5Cd, as listed in Alexandria.

Values from the calculation:
**Energy**: -73.70 eV per cell
**Energy of formation**: -0.3 kcal/mol of atoms

Cell lengths 6.9618, 6.9618, 9.8852 Å; angles 90.00, 90.00, 90.00 degrees
Space group I4/mmm (No. 139)
Inequivalent atoms, fractional coordinates:
Y  0.0000  0.5000  0.0000 [4 per cell]
Ho  0.0000  0.0000  0.0000 [2 per cell]
Ho  0.2500  0.2500  0.2500 [8 per cell]
Cd  0.0000  0.0000  0.5000 [2 per cell]

First-principles (GGA-PBE) data for an optimized crystal structure of Y8Ho2Cd, as listed in Alexandria.

Values from the calculation:
**Offset from the most stable computed form**: 0.0 meV/atom
**Energy**: -124.09 eV per cell
**Energy of formation**: -0.6 kcal/mol of atoms

Cell lengths 19.3711, 5.5689, 6.4229 Å; angles 90.00, 94.88, 90.00 degrees
Space group C2/m (No. 12)
Inequivalent atoms, fractional coordinates:
Y  0.0449  0.0000  0.2620 [4 per cell]
Y  0.0784  0.5000  0.6000 [4 per cell]
Y  0.1548  0.0000  0.8027 [4 per cell]
Y  0.1605  0.5000  0.1249 [4 per cell]
Ho  0.2427  0.0000  0.3352 [4 per cell]
Cd  0.0000  0.5000  0.0000 [2 per cell]

First-principles (GGA-PBE) data for an optimized crystal structure of Y9Ho4Cd11, as listed in Alexandria.

Values from the calculation:
**Energy**: -185.23 eV per cell
**Energy of formation**: -5.8 kcal/mol of atoms

Cell lengths 15.9934, 22.6140, 3.5457 Å; angles 90.00, 90.00, 90.00 degrees
Space group Cmmm (No. 65)
Inequivalent atoms, fractional coordinates:
Y  0.0000  0.0000  0.0000 [2 per cell]
Y  0.1138  0.2343  0.0000 [8 per cell]
Y  0.1146  0.4087  0.0000 [8 per cell]
Ho  0.1636  0.0854  0.0000 [8 per cell]
Cd  0.0000  0.1307  0.5000 [4 per cell]
Cd  0.0000  0.3227  0.5000 [4 per cell]
Cd  0.0000  0.5000  0.5000 [2 per cell]
Cd  0.2208  0.5000  0.5000 [4 per cell]
Cd  0.2328  0.3201  0.5000 [8 per cell]

First-principles (GGA-PBE) data for an optimized crystal structure of Y4Ho9Cd11, as listed in Alexandria.

Values from the calculation:
**Energy**: -165.68 eV per cell
**Energy of formation**: -5.5 kcal/mol of atoms

Cell lengths 16.0196, 22.6679, 3.4977 Å; angles 90.00, 90.00, 90.00 degrees
Space group Cmmm (No. 65)
Inequivalent atoms, fractional coordinates:
Y  0.1670  0.0833  0.0000 [8 per cell]
Ho  0.0000  0.0000  0.0000 [2 per cell]
Ho  0.1115  0.4060  0.0000 [8 per cell]
Ho  0.1137  0.2313  0.0000 [8 per cell]
Cd  0.0000  0.1293  0.5000 [4 per cell]
Cd  0.0000  0.3187  0.5000 [4 per cell]
Cd  0.0000  0.5000  0.5000 [2 per cell]
Cd  0.2113  0.5000  0.5000 [4 per cell]
Cd  0.2303  0.3186  0.5000 [8 per cell]